Record 1
VASP calculation (PBE) on a relaxed structure of Fe2HgPt.

SG: No. 65
DFT formation energy in meV per atom: 168.3

Cell: 4.789 4.789 2.802 Å, 90.00 90.00 108.12°
Fractional coordinates of all 4 atoms:
Fe  0.000  0.500  0.000
Fe  0.500  0.000  0.000
Hg  0.000  0.000  0.500
Pt  0.500  0.500  0.500

Record 2
VASP calculation (PBE) on a relaxed structure of Nd6Dy7Er16.

SG: No. 225
DFT formation energy in meV per atom: 241.7

Cell: 11.127 11.127 11.127 Å, 60.00 60.00 60.00°
Fractional coordinates of all 29 atoms:
Nd  0.229  0.229  0.771
Nd  0.229  0.771  0.229
Nd  0.229  0.771  0.771
Nd  0.771  0.229  0.229
Nd  0.771  0.229  0.771
Nd  0.771  0.771  0.229
Dy  0.000  0.000  0.500
Dy  0.000  0.500  0.000
Dy  0.000  0.500  0.500
Dy  0.500  0.000  0.000
Dy  0.500  0.000  0.500
Dy  0.500  0.500  0.000
Dy  0.500  0.500  0.500
Er  0.119  0.627  0.627
Er  0.151  0.151  0.151
Er  0.151  0.151  0.548
Er  0.151  0.548  0.151
Er  0.373  0.373  0.373
Er  0.373  0.373  0.881
Er  0.373  0.881  0.373
Er  0.452  0.849  0.849
Er  0.548  0.151  0.151
Er  0.627  0.119  0.627
Er  0.627  0.627  0.119
Er  0.627  0.627  0.627
Er  0.849  0.452  0.849
Er  0.849  0.849  0.452
Er  0.849  0.849  0.849
Er  0.881  0.373  0.373

Record 3
VASP calculation (PBE) on a relaxed structure of Ho3ErPu3Te8.

SG: No. 166
E_form (uncorrected) in eV per atom: -1.26

Cell: 8.767 8.767 8.767 Å, 59.70 59.70 59.70°
Fractional coordinates of all 15 atoms:
Ho  0.000  0.500  0.500
Ho  0.500  0.000  0.500
Ho  0.500  0.500  0.000
Er  0.000  0.000  0.000
Pu  0.000  0.000  0.500
Pu  0.000  0.500  0.000
Pu  0.500  0.000  0.000
Te  0.251  0.251  0.743
Te  0.251  0.743  0.251
Te  0.252  0.252  0.252
Te  0.257  0.749  0.749
Te  0.743  0.251  0.251
Te  0.748  0.748  0.748
Te  0.749  0.257  0.749
Te  0.749  0.749  0.257

Record 4
VASP calculation (PBE) on a relaxed structure of SrLiBr.

SG: No. 156
E_form (uncorrected) in eV per atom: -0.89
Energy above the lowest structure with this stoichiometry in kcal/mol of atoms: 1.39

Cell: 4.150 4.150 6.678 Å, 90.00 90.00 120.00°
Fractional coordinates of all 3 atoms:
Sr  0.000  0.000  0.000
Li  0.333  0.667  0.572
Br  0.667  0.333  0.353

Record 5
VASP calculation (PBE) on a relaxed structure of SrTcPtO6.

SG: No. 149
E_form (uncorrected) in eV per atom: -1.45

Cell: 5.346 5.346 5.276 Å, 90.00 90.00 120.00°
Fractional coordinates of all 9 atoms:
Sr  0.000  0.000  0.000
Tc  0.333  0.667  0.500
Pt  0.667  0.333  0.500
O  0.010  0.388  0.704
O  0.010  0.622  0.296
O  0.378  0.388  0.296
O  0.378  0.990  0.704
O  0.612  0.622  0.704
O  0.612  0.990  0.296

Record 6
VASP calculation (PBE) on a relaxed structure of NaAcNb4N8.

SG: No. 160
E_form (uncorrected) in eV per atom: -0.72

Cell: 6.724 6.724 6.724 Å, 56.94 56.94 56.94°
Fractional coordinates of all 14 atoms:
Na  0.000  0.000  0.000
Ac  0.376  0.376  0.376
Nb  0.007  0.007  0.488
Nb  0.007  0.488  0.007
Nb  0.488  0.007  0.007
Nb  0.626  0.626  0.626
N  0.235  0.235  0.235
N  0.252  0.252  0.820
N  0.252  0.820  0.252
N  0.259  0.739  0.739
N  0.739  0.259  0.739
N  0.739  0.739  0.259
N  0.766  0.766  0.766
N  0.820  0.252  0.252

Record 7
VASP calculation (PBE) on a relaxed structure of Ni2Os.

SG: No. 139
Energy above the lowest structure with this stoichiometry in kcal/mol of atoms: 3.80
DFT formation energy in meV per atom: 228.4

Cell: 4.603 4.603 4.603 Å, 142.48 142.48 54.11°
Fractional coordinates of all 3 atoms:
Ni  0.175  0.175  0.000
Ni  0.825  0.825  0.000
Os  0.500  0.500  0.000

Record 8
VASP calculation (PBE) on a relaxed structure of MnVGa3.

SG: No. 221
Energy above the lowest structure with this stoichiometry in kcal/mol of atoms: 0.00
DFT formation energy in meV per atom: 484.5

Cell: 4.526 4.526 4.526 Å, 90.00 90.00 90.00°
Fractional coordinates of all 5 atoms:
Mn  0.000  0.000  0.000
V  0.500  0.500  0.500
Ga  0.000  0.000  0.500
Ga  0.000  0.500  0.000
Ga  0.500  0.000  0.000

Record 9
VASP calculation (PBE) on a relaxed structure of CrSiP2.

SG: No. 12
E_form (uncorrected) in eV per atom: 0.11

Cell: 4.184 4.184 4.426 Å, 94.56 94.56 42.56°
Fractional coordinates of all 4 atoms:
Cr  0.000  0.000  0.000
Si  0.500  0.500  0.500
P  0.276  0.276  0.793
P  0.724  0.724  0.207

Record 10
VASP calculation (PBE) on a relaxed structure of AlAsOs2.

SG: No. 12
Energy above the lowest structure with this stoichiometry in kcal/mol of atoms: 2.92
DFT formation energy in meV per atom: 84.7

Cell: 4.417 4.417 4.967 Å, 99.83 99.83 38.02°
Fractional coordinates of all 4 atoms:
Al  0.000  0.000  0.000
As  0.500  0.500  0.500
Os  0.262  0.262  0.741
Os  0.738  0.738  0.259

Record 11
VASP calculation (PBE) on a relaxed structure of Tl2PdSe2.

SG: No. 55
E_form (uncorrected) in eV per atom: -0.37
Energy above the lowest structure with this stoichiometry in kcal/mol of atoms: 0.00

Cell: 6.225 11.419 3.742 Å, 90.00 90.00 90.00°
Fractional coordinates of all 10 atoms:
Tl  0.110  0.154  0.000
Tl  0.390  0.654  0.000
Tl  0.610  0.346  0.000
Tl  0.890  0.846  0.000
Pd  0.000  0.500  0.000
Pd  0.500  0.000  0.000
Se  0.180  0.390  0.500
Se  0.320  0.890  0.500
Se  0.680  0.110  0.500
Se  0.820  0.610  0.500

Record 12
VASP calculation (PBE) on a relaxed structure of CsRb4Au.

SG: No. 12
DFT formation energy in meV per atom: -93.1

Cell: 12.510 12.510 8.290 Å, 103.08 103.08 45.51°
Fractional coordinates of all 12 atoms:
Cs  0.200  0.200  0.180
Cs  0.800  0.800  0.820
Rb  0.157  0.644  0.388
Rb  0.267  0.733  0.000
Rb  0.330  0.330  0.776
Rb  0.356  0.843  0.612
Rb  0.644  0.157  0.388
Rb  0.670  0.670  0.224
Rb  0.733  0.267  0.000
Rb  0.843  0.356  0.612
Au  0.483  0.483  0.658
Au  0.517  0.517  0.342

| no. | E_tot (eV per atom) | size of the total moment (μB per atom) |
| --- | --- | --- |
| 1 | -5.65 | 1.5069 |
| 2 | -4.37 | 0.0000 |
| 3 | -7.02 | 1.1870 |
| 4 | -2.64 | 0.0000 |
| 5 | -6.77 | 0.1123 |
| 6 | -8.74 | 0.0000 |
| 7 | -7.37 | 0.0000 |
| 8 | -4.99 | 0.6469 |
| 9 | -6.36 | 0.0000 |
| 10 | -7.63 | 0.0000 |
| 11 | -3.75 | 0.0000 |
| 12 | -1.43 | 0.0000 |